First-principles (PBE) data for BaMgPb3 after structural relaxation, as listed in Alexandria.

Computed properties:
Energy above the lowest structure with this stoichiometry = 0.188 eV/atom
Energy relative to the elements = -106 meV per atom

Unit cell a=5.627 b=5.627 c=5.627 alpha=90.00 beta=90.00 gamma=90.00
Fractional positions:
Ba1 0.000 0.000 0.000
Mg1 0.500 0.500 0.500
Pb1 0.000 0.500 0.500
Pb2 0.500 0.000 0.500
Pb3 0.500 0.500 0.000